Record 1
DFT (PBE) results for a relaxed structure of Ta2Bi3N6.

The structure in extended XYZ format:
```
11
Lattice="-2.0415 3.0060 9.9992 -7.0854 1.8011 7.7292 4.8182 -5.0884 -8.0051" Properties=species:S:1:pos:R:3 pbc="T T T"
Bi 0.0000 0.0000 0.0000
Bi -1.7218 0.9069 3.3445
Bi -7.4052 3.9002 14.3840
N -2.7493 1.4480 5.3403
N -6.3777 3.3591 12.3882
N 0.6696 -0.6626 2.3932
N -2.4564 0.9838 8.4652
N -1.8524 -1.2651 1.2582
N -4.9783 0.3813 7.3302
Ta -3.6190 1.9061 7.0297
Ta -5.5079 2.9010 10.6987
```

Calculated values
raw total energy = -85.18 eV/cell

=====

Record 2
DFT (PBE) results for a relaxed structure of Ta3BiN2.

The structure in extended XYZ format:
```
12
Lattice="-2.7424 1.5333 -0.4172 0.4972 -2.7787 -1.4414 -7.9077 -9.7638 16.0951" Properties=species:S:1:pos:R:3 pbc="T T T"
Bi -1.9769 -2.4410 4.0238
Bi -5.9308 -7.3229 12.0713
N -1.0625 -1.9338 -0.1234
N -4.0567 -5.6308 5.9709
N -6.0962 -5.3784 8.2656
N -9.0904 -9.0754 14.3599
Ta 0.0000 0.0000 0.0000
Ta -2.6093 -1.0730 1.1684
Ta -4.6697 -3.6170 5.3620
Ta -3.9539 -4.8819 8.0475
Ta -5.4832 -7.3922 8.8745
Ta -7.5436 -9.9362 13.0682
```

Calculated values
raw total energy = -116.29 eV/cell

=====

Record 3
DFT (PBE) results for a relaxed structure of Ta4Bi3W2N3.

The structure in extended XYZ format:
```
24
Lattice="5.1805 -2.8512 0.0000 5.1805 2.8512 0.0000 -4.6995 0.0000 13.9836" Properties=species:S:1:pos:R:3 pbc="T T T"
Bi 2.3038 -0.4944 3.3583
Bi 4.0056 2.3565 3.4959
Bi 5.7074 -0.4944 3.6335
Bi -0.0459 0.4944 10.3501
Bi 1.6559 -2.3565 10.4877
Bi 3.3577 0.4944 10.6253
N 2.5903 1.4256 0.0000
N 4.3119 -1.4623 0.0639
N 3.6994 -1.4623 6.9279
N 0.2405 -1.4256 6.9918
N 1.9622 1.4623 7.0557
N 1.3497 1.4623 13.9197
Ta 0.8744 0.6229 0.9376
Ta 7.5859 0.4105 0.9532
Ta 0.4254 0.4105 6.0386
Ta 7.1369 0.6229 6.0542
Ta -1.4753 -0.6229 7.9294
Ta 5.2362 -0.4105 7.9450
Ta -1.9243 -0.4105 13.0304
Ta 4.7871 -0.6229 13.0460
W 4.5959 0.3828 1.1454
W 3.4154 0.3828 5.8464
W 2.2461 -0.3827 8.1372
W 1.0657 -0.3828 12.8382
```

Calculated values
raw total energy = -218.62 eV/cell

=====

Record 4
DFT (PBE) results for a relaxed structure of Y2Ta4Bi3N3.

The structure in extended XYZ format:
```
24
Lattice="-4.8506 1.1443 -3.3863 -5.3932 0.4885 2.6418 5.4324 12.9101 1.8936" Properties=species:S:1:pos:R:3 pbc="T T T"
Bi -5.6055 4.4125 -0.6689
Bi -4.0075 3.7494 2.8085
Bi -1.8084 3.8128 -0.3923
Bi -3.0030 10.7301 1.5415
Bi -0.8039 10.7935 -1.6594
Bi 0.7940 10.1304 1.8180
N -4.1368 0.8446 -1.8143
N -2.6966 0.2442 1.3209
N -6.1070 0.7882 1.0698
N -1.6913 6.9724 2.1401
N 0.2909 7.0272 -0.7463
N -3.1201 7.5705 -0.9910
Ta -0.7668 1.0230 0.5225
Ta -7.6229 2.1115 0.0699
Ta 0.0023 5.8641 1.1646
Ta -6.8456 6.9624 0.6215
Ta 2.0342 7.5805 0.5276
Ta -4.8137 8.6788 -0.0155
Ta 2.8114 12.4315 1.0792
Ta -4.0447 13.5199 0.6266
Y -4.1247 1.9100 0.3412
Y -3.4921 6.0702 0.8508
Y -1.3194 8.4727 0.2983
Y -0.6868 12.6330 0.8079
```

Calculated values
raw total energy = -206.54 eV/cell

=====

Record 5
DFT (PBE) results for a relaxed structure of Ta4ZnBiN2.

The structure in extended XYZ format:
```
8
Lattice="-1.7124 -0.9520 -2.4865 3.1253 0.4095 -0.2940 2.1623 -13.7819 3.7875" Properties=species:S:1:pos:R:3 pbc="T T T"
Bi 0.0000 0.0000 0.0000
N 2.0947 -3.7540 -0.0053
N 3.0930 -10.1166 1.7432
Ta 0.3092 -3.1054 -1.0391
Ta 0.7591 -4.8382 1.3296
Ta 1.4032 -8.9437 2.4579
Ta 1.6533 -11.6728 1.3153
Zn 0.9813 -7.3891 0.1381
```

Calculated values
raw total energy = -71.59 eV/cell

=====

Record 6
DFT (PBE) results for a relaxed structure of Zr2Ta4Bi3N3.

The structure in extended XYZ format:
```
24
Lattice="-5.7153 -0.0016 1.7345 -1.8351 -3.8108 4.2170 0.4482 7.8823 11.3944" Properties=species:S:1:pos:R:3 pbc="T T T"
Bi -1.9900 0.3713 5.0083
Bi -5.3355 1.7062 4.7543
Bi -4.6201 -0.9457 7.0985
Bi -2.4820 5.0155 10.2474
Bi -1.7665 2.3636 12.5915
Bi -5.1121 3.6985 12.3375
N -4.1110 -0.6223 1.8443
N -0.9175 -1.9054 2.1085
N -3.4394 -3.1902 4.1072
N -1.9315 1.3985 8.7915
N -2.6335 3.9403 6.5645
N -5.1706 2.6713 8.5544
Ta -1.9849 0.0174 1.9544
Ta -7.0360 -2.5287 5.9438
Ta -0.9230 3.2786 5.3001
Ta -5.9748 0.7332 9.2891
Ta -1.1273 3.3366 8.0567
Ta -6.1790 0.7912 12.0458
Ta -0.0661 6.5985 11.4021
Ta -5.1172 4.0524 15.3915
Zr -4.4818 -1.1228 4.0673
Zr -3.4996 1.8947 7.1623
Zr -3.6025 2.1751 10.1836
Zr -2.6203 5.1926 13.2786
```

Calculated values
raw total energy = -213.25 eV/cell

=====

Record 7
DFT (PBE) results for a relaxed structure of Tb3BiN2.

The structure in extended XYZ format:
```
6
Lattice="-2.2744 -2.2951 -1.5079 3.5146 -0.4513 -0.3983 0.2228 -5.9174 8.6704" Properties=species:S:1:pos:R:3 pbc="T T T"
Bi 0.0000 0.0000 0.0000
N 1.6648 -3.1889 2.3425
N -0.2019 -5.4749 4.4216
Tb -0.2901 -3.1322 0.9889
Tb 0.1114 -2.9587 4.3352
Tb 1.7531 -5.5317 5.7752
```

Calculated values
raw total energy = -42.46 eV/cell

=====

Record 8
DFT (PBE) results for a relaxed structure of Tm3BiN2.

The structure in extended XYZ format:
```
6
Lattice="-1.9535 1.5481 -2.4432 -0.1254 -3.4652 0.3976 -7.6390 1.0541 6.7758" Properties=species:S:1:pos:R:3 pbc="T T T"
Bi 0.0000 0.0000 0.0000
N -3.4891 -1.4141 1.8938
N -6.2289 0.5510 2.8365
Tm -3.2363 0.1381 0.1821
Tm -3.8195 0.5270 3.3879
Tm -6.4817 -1.0011 4.5482
```

Calculated values
raw total energy = -42.26 eV/cell

=====

Record 9
DFT (PBE) results for a relaxed structure of Tm3Bi2N.

The structure in extended XYZ format:
```
6
Lattice="-0.3263 1.2643 3.6285 -2.7545 -2.2302 -1.5199 5.2610 -8.9439 3.5895" Properties=species:S:1:pos:R:3 pbc="T T T"
Bi -0.3117 -3.8423 1.3108
Bi 2.4918 -6.0675 4.3874
N 0.0000 0.0000 0.0000
Tm -0.5482 -0.8994 2.3133
Tm 2.6305 -4.4720 1.7948
Tm 2.7283 -9.0104 3.3849
```

Calculated values
raw total energy = -34.70 eV/cell

=====

Record 10
DFT (PBE) results for a relaxed structure of Tm6BiN3.

The structure in extended XYZ format:
```
10
Lattice="2.7827 -2.5667 6.4467 -7.3163 0.9814 1.1831 1.2283 -4.8041 -5.5949" Properties=species:S:1:pos:R:3 pbc="T T T"
Bi 0.0000 0.0000 0.0000
N -2.2668 -0.7927 3.8149
N 0.8721 -4.0818 2.3333
N -4.1774 -2.3077 -0.2985
Tm -1.3333 -0.4662 2.2439
Tm -3.2003 -1.1191 5.3859
Tm 1.3717 -2.5208 0.2913
Tm -2.0821 -1.3074 -1.5088
Tm 2.6392 -4.8501 0.5605
Tm -4.0060 -2.5154 -2.9030
```

Calculated values
raw total energy = -48.98 eV/cell

=====

Record 11
DFT (PBE) results for a relaxed structure of BiW3N2.

The structure in extended XYZ format:
```
12
Lattice="3.3567 0.0000 0.0000 -1.6783 2.9069 0.0000 0.0000 0.0000 17.6006" Properties=species:S:1:pos:R:3 pbc="T T T"
Bi 0.0000 0.0000 4.4001
Bi 0.0000 0.0000 13.2004
N 0.0000 1.9380 1.1443
N 0.0000 1.9380 7.6560
N 1.6783 0.9690 9.9446
N 1.6783 0.9690 16.4563
W 0.0000 0.0000 0.0000
W 1.6783 0.9690 2.0050
W 1.6783 0.9690 6.7952
W 0.0000 0.0000 8.8003
W 0.0000 1.9380 10.8053
W 0.0000 1.9380 15.5955
```

Calculated values
raw total energy = -112.41 eV/cell

=====

Record 12
DFT (PBE) results for a relaxed structure of Y2Bi3W4N3.

The structure in extended XYZ format:
```
24
Lattice="-1.8717 4.8518 2.3590 1.7165 1.3266 5.2822 12.4861 7.3684 -6.4405" Properties=species:S:1:pos:R:3 pbc="T T T"
Bi 2.1227 4.0077 0.8056
Bi 4.5226 3.4785 3.4151
Bi 3.0839 6.7206 2.8974
Bi 9.2471 6.8261 -1.6967
Bi 7.8084 10.0682 -2.2144
Bi 10.2083 9.5390 0.3951
N -0.9358 2.4259 1.1795
N 0.8405 1.7863 3.9128
N 6.9768 6.3772 1.9171
N 7.1013 4.3475 -0.5791
N 5.3542 7.1695 -0.7164
N 11.4905 11.7604 -2.7121
W 0.8257 1.5978 1.7361
W -0.7760 4.6463 1.6428
W 3.8190 8.2078 0.2975
W 5.7722 7.7638 3.1003
W 6.5588 5.7830 -1.8996
W 8.5120 5.3390 0.9032
W 13.1070 8.9004 -0.4421
W 11.5053 11.9490 -0.5354
Y 1.4417 4.0665 4.1158
Y 5.2545 5.1985 0.8007
Y 7.0765 8.3482 0.4000
Y 10.8893 9.4802 -2.9151
```

Calculated values
raw total energy = -206.46 eV/cell

=====

Record 13
DFT (PBE) results for a relaxed structure of ZnBiW4N2.

The structure in extended XYZ format:
```
8
Lattice="2.9199 0.0000 0.0000 -1.4600 2.5287 0.0000 0.0000 0.0000 15.7052" Properties=species:S:1:pos:R:3 pbc="T T T"
Bi 0.0000 0.0000 0.0000
N 0.0000 1.6858 4.2171
N 0.0000 1.6858 11.4881
W 1.4600 0.8429 2.8474
W 0.0000 0.0000 5.6132
W 0.0000 0.0000 10.0920
W 1.4600 0.8429 12.8578
Zn 1.4600 0.8429 7.8526
```

Calculated values
raw total energy = -70.19 eV/cell

=====

Record 14
DFT (PBE) results for a relaxed structure of Zr2Bi3W4N3.

The structure in extended XYZ format:
```
24
Lattice="5.4319 -2.9334 0.0000 5.4319 2.9334 0.0000 -3.2950 0.0000 13.3117" Properties=species:S:1:pos:R:3 pbc="T T T"
Bi 6.4644 -0.4186 3.2480
Bi 4.6081 2.6568 3.3279
Bi 2.7519 -0.4186 3.4079
Bi 4.8169 0.4186 9.9038
Bi 2.9606 -2.6568 9.9837
Bi 1.1044 0.4186 10.0637
N 2.7159 1.4667 0.0000
N 6.5106 1.2053 0.1396
N 2.7057 1.2053 6.5162
N 1.0684 -1.4667 6.6558
N 4.8631 -1.2053 6.7955
N 1.0581 -1.2053 13.1720
W 1.2071 0.1306 0.9546
W 8.3029 0.6973 1.0492
W 0.9134 0.6973 5.6066
W 8.0092 0.1306 5.7013
W -0.4404 -0.1306 7.6104
W 6.6554 -0.6973 7.7050
W -0.7342 -0.6973 12.2625
W 6.3617 -0.1306 12.3571
Zr 4.4502 0.6754 1.0070
Zr 4.7661 0.6754 5.6488
Zr 2.8027 -0.6754 7.6629
Zr 3.1186 -0.6754 12.3046
```

Calculated values
raw total energy = -211.00 eV/cell

=====

Record 15
DFT (PBE) results for a relaxed structure of Y4ZnBiN2.

The structure in extended XYZ format:
```
8
Lattice="3.5735 0.0000 0.0000 -1.7868 3.0948 0.0000 0.0000 0.0000 14.8882" Properties=species:S:1:pos:R:3 pbc="T T T"
Bi 0.0000 2.0632 7.4441
N 0.0000 0.0000 3.6697
N 0.0000 0.0000 11.2185
Y 0.0000 2.0632 2.2493
Y 1.7868 1.0316 4.8930
Y 1.7868 1.0316 9.9952
Y 0.0000 2.0632 12.6390
Zn 1.7868 1.0316 0.0000
```

Calculated values
raw total energy = -55.84 eV/cell

=====

Record 16
DFT (PBE) results for a relaxed structure of Y4Zr2Bi3N3.

The structure in extended XYZ format:
```
24
Lattice="5.3146 -3.0720 0.0000 5.3146 3.0720 0.0000 -3.5479 0.0000 14.9019" Properties=species:S:1:pos:R:3 pbc="T T T"
Bi 6.1187 0.4595 3.7109
Bi 4.4276 -2.4666 3.7255
Bi 2.7366 0.4595 3.7401
Bi 4.3447 -0.4595 11.1619
Bi 2.6537 2.4666 11.1764
Bi 0.9626 -0.4595 11.1910
N 2.6573 -1.5360 0.0000
N 6.1675 -1.4800 0.0000
N 4.4617 1.4800 0.0000
N 4.3936 1.4800 7.4509
N 0.8834 1.5360 7.4510
N 2.6877 -1.4800 7.4510
Y 7.9938 -0.5230 1.2798
Y 0.8888 -0.4909 1.2800
Y 7.9664 -0.4909 6.1709
Y 0.8615 -0.5230 6.1712
Y 6.2198 0.5230 8.7307
Y -0.8852 0.4909 8.7310
Y 6.1925 0.4909 13.6219
Y -0.9125 0.5230 13.6221
Zr 4.4177 -0.5209 1.1503
Zr 4.4375 -0.5209 6.3006
Zr 2.6438 0.5209 8.6013
Zr 2.6636 0.5209 13.7516
```

Calculated values
raw total energy = -185.62 eV/cell

=====

Record 17
DFT (PBE) results for a relaxed structure of Y2Zr4Bi3N3.

The structure in extended XYZ format:
```
24
Lattice="5.2722 -3.0397 0.0000 5.2722 3.0397 0.0000 -3.5394 0.0000 14.4435" Properties=species:S:1:pos:R:3 pbc="T T T"
Bi 2.5230 0.5637 3.5922
Bi 4.3873 -2.6572 3.6109
Bi 6.2516 0.5637 3.6295
Bi 0.7533 -0.5637 10.8140
Bi 2.6176 2.6572 10.8326
Bi 4.4819 -0.5637 10.8513
N 2.6361 -1.5198 0.0000
N 6.1701 -1.5549 0.0000
N 4.3743 1.5549 0.0000
N 4.4004 1.5550 7.2217
N 0.8664 1.5198 7.2217
N 2.6045 -1.5550 7.2218
Y 4.4145 -0.4935 1.3023
Y 4.3601 -0.4935 5.9195
Y 2.6448 0.4935 8.5240
Y 2.5904 0.4935 13.1412
Zr 0.8850 -0.5224 1.1334
Zr 7.8958 -0.4963 1.1346
Zr 0.8788 -0.4963 6.0872
Zr 7.8896 -0.5224 6.0883
Zr -0.8847 0.5224 8.3552
Zr 6.1261 0.4963 8.3563
Zr -0.8909 0.4963 13.3089
Zr 6.1199 0.5224 13.3101
```

Calculated values
raw total energy = -192.40 eV/cell

=====

Record 18
DFT (PBE) results for a relaxed structure of Zr4ZnBiN2.

The structure in extended XYZ format:
```
8
Lattice="-0.0926 3.0820 -1.3151 -0.5399 -2.6718 -1.9512 -13.9122 0.7730 2.7911" Properties=species:S:1:pos:R:3 pbc="T T T"
Bi 0.0000 0.0000 0.0000
N -4.0180 -0.5523 -1.0115
N -10.6757 -0.1824 0.3242
Zn -7.1978 1.5506 -0.1316
Zr -2.6303 1.2968 -1.0479
Zr -4.7837 0.2658 0.9597
Zr -9.1284 0.5072 1.8314
Zr -11.7653 1.8044 0.7847
```

Calculated values
raw total energy = -63.57 eV/cell

=====

Record 19
DFT (PBE) results for a relaxed structure of Zr2BiN.

The structure in extended XYZ format:
```
8
Lattice="-0.1960 3.0490 -1.7202 -2.6809 -2.2565 -0.1209 -5.5062 5.9436 11.1624" Properties=species:S:1:pos:R:3 pbc="T T T"
Bi -2.4008 2.7664 1.6035
Bi -5.9822 3.9697 7.7178
N 0.0000 0.0000 0.0000
N -2.7531 2.9718 5.5812
Zr -2.2981 -0.0072 0.2491
Zr -4.1602 2.0029 4.0241
Zr -4.2229 4.7332 5.2973
Zr -6.0850 6.7432 9.0722
```

Calculated values
raw total energy = -66.52 eV/cell

=====

| no. | density (g/cm³) |
| --- | --- |
| 1 | 10.84 |
| 2 | 14.58 |
| 3 | 14.15 |
| 4 | 12.02 |
| 5 | 13.58 |
| 6 | 12.58 |
| 7 | 10.25 |
| 8 | 11.41 |
| 9 | 11.02 |
| 10 | 6.55 |
| 11 | 15.25 |
| 12 | 11.59 |
| 13 | 14.86 |
| 14 | 12.42 |
| 15 | 6.64 |
| 16 | 8.24 |
| 17 | 8.69 |
| 18 | 8.01 |
| 19 | 9.17 |